4
Lattice="-0.523 1.518 6.078 -4.477 -2.805 3.409 5.216 -0.523 -3.470" Properties=species:S:1:pos:R:3 comment="YZr2Tl PBE-GGA relaxed" e_above_lowest_polymorph_ev_per_fu=0.40 n_ef_per_ev_cell=4.38 final_energy_ev_per_atom=-6.448 pbc="T T T"
Zr 1.104 0.178 3.663
Zr -4.934 -1.269 9.363
Y -0.905 -1.992 2.388
Tl -2.547 -0.655 4.833

---

7
Lattice="8.472 0.000 0.000 -2.824 7.988 0.000 -2.824 -3.994 6.918" Properties=species:S:1:pos:R:3 comment="Yb6Tl PBE-GGA relaxed" n_ef_per_ev_cell=98.58 final_energy_ev_per_atom=-0.673 pbc="T T T"
Yb 4.236 2.995 1.729
Yb -1.412 0.998 5.188
Yb 4.236 0.000 3.459
Yb 1.412 4.992 1.729
Yb -1.412 3.994 3.459
Yb 1.412 -0.998 5.188
Tl 0.000 0.000 0.000

---

7
Lattice="7.360 0.000 0.000 -2.453 6.939 0.000 -2.453 -3.470 6.010" Properties=species:S:1:pos:R:3 comment="YbTl6 PBE-GGA relaxed" n_ef_per_ev_cell=21.27 final_energy_ev_per_atom=-1.908 pbc="T T T"
Yb 0.000 0.000 0.000
Tl 3.680 2.602 1.502
Tl 1.227 -0.867 4.507
Tl 3.680 0.000 3.005
Tl 1.227 4.337 1.502
Tl -1.227 3.470 3.005
Tl -1.227 0.867 4.507